Run A
Computed, not measured: a relaxed structure of SrLa2ZnIr at the GGA-PBE level of DFT.

Cell lengths 5.5264, 5.5264, 6.0084 Å; angles 90.00, 90.00, 90.00 degrees
Fractional positions:
Sr 0.0000 0.0000 0.5000
La 0.0000 0.5000 0.0000
La 0.5000 0.0000 0.0000
Zn 0.5000 0.5000 0.5000
Ir 0.0000 0.0000 0.0000

Results
**Magnetization**: 0.0 μB/f.u.

---

Run B
Computed, not measured: a relaxed structure of SrLa2ZnIr at the GGA-PBE level of DFT.

Cell lengths 5.6037, 5.6037, 5.1710 Å; angles 90.00, 90.00, 90.00 degrees
Fractional positions:
La 0.5000 0.0000 0.0000
La 0.0000 0.5000 0.0000
Sr 0.5000 0.5000 0.5000
Ir 0.0000 0.0000 0.0000
Zn 0.0000 0.0000 0.5000

Results
**Magnetization**: 0.0 μB/f.u.

---

Result of the stability comparison: run B is the most stable of them.

---

Run A
Computed, not measured: a relaxed structure of LaTaIr2 at the GGA-PBE level of DFT.

Cell lengths 3.1340, 3.1721, 7.8011 Å; angles 90.00, 90.00, 90.00 degrees
Fractional positions:
Ta 0.5000 0.5000 0.7500
Ir 0.0000 0.0000 0.5516
Ir 0.0000 0.0000 0.9484
La 0.5000 0.5000 0.2500

Results
**Magnetization**: 0.0 μB/f.u.

---

Run B
Computed, not measured: a relaxed structure of LaTaIr2 at the GGA-PBE level of DFT.

Cell lengths 4.3462, 4.3462, 5.9002 Å; angles 68.41, 68.41, 60.03 degrees
Fractional positions:
La 0.7500 0.7500 0.7500
Ta 0.2500 0.2500 0.2500
Ir 0.5357 0.5357 0.3929
Ir 0.9643 0.9643 0.1071

Results
**Magnetization**: 0.0 μB/f.u.

---

Run C
Computed, not measured: a relaxed structure of LaTaIr2 at the GGA-PBE level of DFT.

Cell lengths 3.0178, 3.9368, 6.9565 Å; angles 90.00, 90.00, 90.00 degrees
Fractional positions:
Ir 0.0000 0.0000 0.9800
Ir 0.5000 0.5000 0.2115
Ta 0.5000 0.5000 0.8433
La 0.0000 0.0000 0.4652

Results
**Magnetization**: 0.0 μB/f.u.

---

Result of the stability comparison: run A is the most stable of them.

---

Run A
Computed, not measured: a relaxed structure of LaTaIr2 at the GGA-PBE level of DFT.

Cell lengths 9.6864, 9.6864, 9.6864 Å; angles 17.96, 17.96, 17.96 degrees
Fractional positions:
La 0.2500 0.2500 0.2500
Ir 0.4890 0.4890 0.4890
Ir 0.0110 0.0110 0.0110
Ta 0.7500 0.7500 0.7500

Results
**Magnetization**: 0.5 μB/f.u.

---

Run B
Computed, not measured: a relaxed structure of LaTaIr2 at the GGA-PBE level of DFT.

Cell lengths 7.6500, 7.6500, 7.6500 Å; angles 156.20, 151.18, 37.71 degrees
Fractional positions:
Ir 0.2230 0.7230 0.5000
Ir 0.9342 0.9342 0.0000
Ta 0.7928 0.2928 0.5000
La 0.5500 0.5500 0.0000

Results
**Magnetization**: 0.0 μB/f.u.

---

Run C
Computed, not measured: a relaxed structure of LaTaIr2 at the GGA-PBE level of DFT.

Cell lengths 5.4709, 5.4709, 5.4709 Å; angles 136.49, 136.49, 63.23 degrees
Fractional positions:
Ta 0.7500 0.2500 0.5000
La 0.5000 0.5000 0.0000
Ir 0.2500 0.7500 0.5000
Ir 0.0000 0.0000 0.0000

Results
**Magnetization**: 0.0 μB/f.u.

---

Run D
Computed, not measured: a relaxed structure of LaTaIr2 at the GGA-PBE level of DFT.

Cell lengths 7.7348, 5.0480, 3.0059 Å; angles 89.89, 67.29, 130.63 degrees
Fractional positions:
La 0.0000 0.5000 0.5000
Ir 0.5000 0.0000 0.5000
Ir 0.0000 0.0000 0.0000
Ta 0.5000 0.5000 0.0000

Results
**Magnetization**: 0.0 μB/f.u.

---

Result of the stability comparison: run D is the most stable of them.

---

Run A
Computed, not measured: a relaxed structure of LaTaIr2 at the GGA-PBE level of DFT.

Cell lengths 3.7676, 3.7676, 6.0951 Å; angles 90.00, 90.00, 90.00 degrees
Fractional positions:
Ir 0.5000 0.5000 0.2706
Ir 0.0000 0.0000 0.9266
Ta 0.5000 0.5000 0.8622
La 0.0000 0.0000 0.4407

Results
**Magnetization**: 0.0 μB/f.u.

---

Run B
Computed, not measured: a relaxed structure of LaTaIr2 at the GGA-PBE level of DFT.

Cell lengths 10.2978, 10.2978, 10.2978 Å; angles 16.35, 16.35, 16.35 degrees
Fractional positions:
La 0.5060 0.5060 0.5060
Ir 0.2585 0.2585 0.2585
Ir 0.9988 0.9988 0.9988
Ta 0.7367 0.7367 0.7367

Results
**Magnetization**: 0.1 μB/f.u.

---

Result of the stability comparison: run A is the most stable of them.

---

Run A
Computed, not measured: a relaxed structure of LaTaIr2 at the GGA-PBE level of DFT.

Cell lengths 4.6971, 4.6971, 4.6971 Å; angles 60.00, 60.00, 60.00 degrees
Fractional positions:
Ir 0.0000 0.0000 0.0000
Ir 0.2500 0.2500 0.2500
La 0.5000 0.5000 0.5000
Ta 0.7500 0.7500 0.7500

Results
**Magnetization**: 0.0 μB/f.u.

---

Run B
Computed, not measured: a relaxed structure of LaTaIr2 at the GGA-PBE level of DFT.

Cell lengths 7.4556, 7.4556, 6.1083 Å; angles 52.39, 52.39, 90.00 degrees
Fractional positions:
Ir 0.6678 0.1250 0.2500
Ir 0.3750 0.3322 0.7500
Ir 0.0822 0.6250 0.2500
Ir 0.8750 0.9178 0.7500
La 0.5000 0.5000 0.0000
La 0.2500 0.7500 0.5000
Ta 0.0000 0.0000 0.0000
Ta 0.7500 0.2500 0.5000

Results
**Magnetization**: 0.0 μB/f.u.

---

Run C
Computed, not measured: a relaxed structure of LaTaIr2 at the GGA-PBE level of DFT.

Cell lengths 5.2373, 5.2373, 5.1957 Å; angles 82.77, 82.77, 33.75 degrees
Fractional positions:
Ir 0.0020 0.0020 0.0456
Ir 0.7333 0.7333 0.7534
Ta 0.2755 0.2755 0.1577
La 0.4892 0.4892 0.5434

Results
**Magnetization**: 0.0 μB/f.u.

---

Result of the stability comparison: run C is the most stable of them.

---

Run A
Computed, not measured: a relaxed structure of LaTaIr2 at the GGA-PBE level of DFT.

Cell lengths 4.7887, 4.7887, 4.7887 Å; angles 60.00, 60.00, 60.00 degrees
Fractional positions:
Ir 0.2500 0.2500 0.2500
Ir 0.7500 0.7500 0.7500
La 0.0000 0.0000 0.0000
Ta 0.5000 0.5000 0.5000

Results
**Magnetization**: 0.0 μB/f.u.

---

Run B
Computed, not measured: a relaxed structure of LaTaIr2 at the GGA-PBE level of DFT.

Cell lengths 4.5514, 3.2303, 5.7252 Å; angles 73.38, 90.00, 90.00 degrees
Fractional positions:
Ir 0.0000 0.2230 0.9338
Ir 0.5000 0.0552 0.2624
La 0.0000 0.4731 0.4251
Ta 0.5000 0.7486 0.8787

Results
**Magnetization**: 0.0 μB/f.u.

---

Result of the stability comparison: run B is the most stable of them.

---

Run A
Computed, not measured: a relaxed structure of LaTa2Ir2 at the GGA-PBE level of DFT.

Cell lengths 4.4847, 4.4847, 6.2055 Å; angles 68.82, 68.82, 90.00 degrees
Fractional positions:
Ir 0.6275 0.6275 0.7450
Ir 0.3725 0.3725 0.2550
Ta 0.7500 0.2500 0.5000
Ta 0.2500 0.7500 0.5000
La 0.0000 0.0000 0.0000

Results
**Magnetization**: 0.0 μB/f.u.

---

Run B
Computed, not measured: a relaxed structure of LaTa2Ir2 at the GGA-PBE level of DFT.

Cell lengths 7.9955, 7.9955, 2.9352 Å; angles 90.00, 90.00, 90.00 degrees
Fractional positions:
Ir 0.3638 0.1362 0.5000
Ir 0.1362 0.6362 0.5000
Ir 0.6362 0.8638 0.5000
Ir 0.8638 0.3638 0.5000
Ta 0.3446 0.8446 0.0000
Ta 0.8446 0.6554 0.0000
Ta 0.1554 0.3446 0.0000
Ta 0.6554 0.1554 0.0000
La 0.5000 0.5000 0.0000
La 0.0000 0.0000 0.0000

Results
**Magnetization**: 0.0 μB/f.u.

---

Run C
Computed, not measured: a relaxed structure of LaTa2Ir2 at the GGA-PBE level of DFT.

Cell lengths 8.0399, 8.0399, 2.9767 Å; angles 90.00, 90.00, 90.00 degrees
Fractional positions:
La 0.5000 0.5000 0.0000
La 0.0000 0.0000 0.0000
Ta 0.6573 0.8427 0.5000
Ta 0.1573 0.6573 0.5000
Ta 0.3427 0.1573 0.5000
Ta 0.8427 0.3427 0.5000
Ir 0.6294 0.1294 0.0000
Ir 0.3706 0.8706 0.0000
Ir 0.1294 0.3706 0.0000
Ir 0.8706 0.6294 0.0000

Results
**Magnetization**: 0.0 μB/f.u.

---

Run D
Computed, not measured: a relaxed structure of LaTa2Ir2 at the GGA-PBE level of DFT.

Cell lengths 4.6050, 4.6050, 6.1391 Å; angles 67.97, 67.97, 90.00 degrees
Fractional positions:
Ta 0.3635 0.3635 0.2730
Ta 0.6365 0.6365 0.7270
La 0.0000 0.0000 0.0000
Ir 0.7500 0.2500 0.5000
Ir 0.2500 0.7500 0.5000

Results
**Magnetization**: 0.0 μB/f.u.

---

Result of the stability comparison: run A is the most stable of them.

---

Run A
Computed, not measured: a relaxed structure of LaTa2Ir at the GGA-PBE level of DFT.

Cell lengths 5.3092, 5.3092, 5.7321 Å; angles 75.28, 75.28, 33.88 degrees
Fractional positions:
Ta 0.9724 0.9724 0.0778
Ta 0.2391 0.2391 0.2622
La 0.7657 0.7657 0.7332
Ir 0.5228 0.5228 0.4268

Results
**Magnetization**: 0.0 μB/f.u.

---

Run B
Computed, not measured: a relaxed structure of LaTa2Ir at the GGA-PBE level of DFT.

Cell lengths 4.8221, 4.8221, 4.8221 Å; angles 60.00, 60.00, 60.00 degrees
Fractional positions:
Ir 0.5000 0.5000 0.5000
La 0.7500 0.7500 0.7500
Ta 0.2500 0.2500 0.2500
Ta 0.0000 0.0000 0.0000

Results
**Magnetization**: 0.0 μB/f.u.

---

Result of the stability comparison: run A is the most stable of them.